Entry i
VASP calculation (PBE) on a relaxed structure of Pr4ZnHg3.

Cell: 3.799 4.916 12.233 Å, 90.00 90.00 90.00°
Fractional coordinates of all 8 atoms:
Pr  0.000  0.000  0.000
Pr  0.000  0.500  0.295
Pr  0.500  0.000  0.490
Pr  0.500  0.500  0.799
Zn  0.500  0.000  0.222
Hg  0.000  0.000  0.724
Hg  0.000  0.500  0.569
Hg  0.500  0.500  0.076

Computed properties:
For the density of states at the Fermi level, the calculation gives 1.25 states/eV/atom. The magnetization is 0.00 μB/cell.



Entry ii
VASP calculation (PBE) on a relaxed structure of Pr4ZnHg3.

Cell: 3.818 3.818 15.375 Å, 90.00 90.00 90.00°
Fractional coordinates of all 8 atoms:
Pr  0.000  0.000  0.114
Pr  0.000  0.000  0.372
Pr  0.000  0.000  0.628
Pr  0.000  0.000  0.886
Zn  0.500  0.500  0.000
Hg  0.500  0.500  0.242
Hg  0.500  0.500  0.500
Hg  0.500  0.500  0.758

Computed properties:
For the density of states at the Fermi level, the calculation gives 1.10 states/eV/atom. The magnetization is 0.96 μB/cell.



Sorted by energy, starting with the most stable: entry ii, entry i.